[1]
Density functional theory data (SCAN) for CsZnSb3 at its PBEsol-relaxed geometry.

a = 5.3823 Å, b = 5.3823 Å, c = 5.3823 Å
α = 90.00°, β = 90.00°, γ = 90.00°
Atoms (fractional coordinates):
Cs (0.5000, 0.5000, 0.5000)
Sb (0.0000, 0.5000, 0.0000)
Sb (0.0000, 0.0000, 0.5000)
Sb (0.5000, 0.0000, 0.0000)
Zn (0.0000, 0.0000, 0.0000)

Properties
Space group: Pm-3m
Crystal system: cubic
ΔE_f (raw): 171 meV/atom

[2]
Density functional theory data (SCAN) for NiHgF3 at its PBEsol-relaxed geometry.

a = 4.4422 Å, b = 4.4422 Å, c = 4.4422 Å
α = 90.00°, β = 90.00°, γ = 90.00°
Last column: magnetic moment on the atom in μB.
Atoms (fractional coordinates):
Ni (0.5000, 0.5000, 0.5000)  1.13
Hg (0.0000, 0.0000, 0.0000)  0.00
F (0.0000, 0.5000, 0.0000)  0.00
F (0.0000, 0.0000, 0.5000)  0.00
F (0.5000, 0.0000, 0.0000)  0.00

Properties
Space group: Pm-3m
Crystal system: cubic
ΔE_f (raw): -523 meV/atom